No. 1
The following is a DFT calculation (GGA-PBE) of crystalline KTc2Br at its relaxed geometry.

Cell and atoms, written as POSCAR:
```
KTc2Br
1.0
-2.803 -0.465 -1.232
-0.804 -1.691 2.467
-3.034 7.427 4.102
Tc Br K
2 1 1
Cartesian
-0.218 0.535 0.295 Tc
-1.299 3.179 1.756 Tc
-2.562 0.779 1.643 Br
-4.079 4.493 3.694 K
```

Symmetry = No. 123
Uncorrected formation energy = 1.45 eV/atom
Crystal system = tetragonal

=====

No. 2
The following is a DFT calculation (GGA-PBE) of crystalline KTc2Br at its relaxed geometry.

Cell and atoms, written as POSCAR:
```
KTc2Br
1.0
-0.806 6.203 1.320
-4.393 2.634 -3.826
1.446 -4.130 4.660
Tc K Br
2 1 1
Cartesian
-2.704 1.343 -0.176 Tc
-0.480 0.815 -0.231 Tc
-0.842 3.011 2.430 K
-2.327 3.956 -1.122 Br
```

Symmetry = No. 44
Uncorrected formation energy = 0.75 eV/atom
Crystal system = orthorhombic

=====

No. 3
The following is a DFT calculation (GGA-PBE) of crystalline KTcBr at its relaxed geometry.

Cell and atoms, written as POSCAR:
```
KTcBr
1.0
-2.399 2.536 0.892
-1.076 -2.967 -1.738
-1.143 -3.329 6.390
K Br Tc
1 1 1
Cartesian
-1.879 -2.186 1.161 K
-1.110 -3.232 6.204 Br
-2.773 -1.671 4.569 Tc
```

Symmetry = No. 156
Uncorrected formation energy = 0.70 eV/atom
Crystal system = trigonal

=====

No. 4
The following is a DFT calculation (GGA-PBE) of crystalline KTcBr at its relaxed geometry.

Cell and atoms, written as POSCAR:
```
KTcBr
1.0
-1.807 -2.639 -3.999
-3.103 -4.002 0.764
-4.954 0.325 -1.255
Tc Br K
1 1 1
Cartesian
-4.932 -3.158 -2.245 Tc
-7.398 -4.737 -3.368 Br
0.000 0.000 0.000 K
```

Symmetry = No. 216
Uncorrected formation energy = 0.99 eV/atom
Crystal system = cubic

=====

No. 5
The following is a DFT calculation (GGA-PBE) of crystalline KTc2Br at its relaxed geometry.

Cell and atoms, written as POSCAR:
```
KTc2Br
1.0
-3.411 -2.749 -0.747
2.484 -2.300 -2.879
2.731 -8.542 5.750
Tc K Br
4 2 2
Cartesian
-0.445 -9.267 3.089 Tc
-0.501 -5.778 -0.961 Tc
0.899 -7.557 3.882 Tc
-2.239 -5.028 0.370 Tc
2.376 -6.683 0.529 K
-0.463 -2.524 -1.813 K
-0.572 -6.908 1.595 Br
0.000 0.000 0.000 Br
```

Symmetry = No. 122
Uncorrected formation energy = 1.00 eV/atom
Crystal system = tetragonal

=====

No. 6
The following is a DFT calculation (GGA-PBE) of crystalline KTcBr at its relaxed geometry.

Cell and atoms, written as POSCAR:
```
KTcBr
1.0
-2.237 -0.251 -5.083
2.967 -2.019 -4.246
-1.317 -4.925 -2.218
Br K Tc
1 1 1
Cartesian
-0.293 -3.597 -5.774 Br
-0.440 -5.396 -8.660 K
0.000 0.000 0.000 Tc
```

Symmetry = No. 216
Uncorrected formation energy = 1.16 eV/atom
Crystal system = cubic